No. 1
# PBE Tb4DyAl3, optimized geometry
# **Density of states at the Fermi level**: 15.30 states/eV/cell
# **VASP energy**: -4.43 eV/atom
# **M_tot**: 0.00 μB per formula unit
# **Formation energy**: -1.1 eV per formula unit
data_Tb4DyAl3
_chemical_formula_sum 'Tb8 Dy2 Al6'
_space_group_name_H-M_alt 'I m m m'
_space_group_IT_number 71
_space_group_name_Hall '-I 2 2'
_cell_length_a 3.388
_cell_length_b 8.595
_cell_length_c 14.785
_cell_angle_alpha 90.00
_cell_angle_beta 90.00
_cell_angle_gamma 90.00
loop_
_atom_site_label
_atom_site_type_symbol
_atom_site_fract_x
_atom_site_fract_y
_atom_site_fract_z
Tb1 Tb 0.000 0.196 0.140
Dy1 Dy 0.000 0.500 0.000
Al1 Al 0.000 0.000 0.318
Al2 Al 0.000 0.500 0.500

=====

No. 2
# PBE CdIn2CuCl, optimized geometry
# **Density of states at the Fermi level**: 1.52 states/eV/cell
# **E_form (uncorrected)**: -0.1746 eV/atom
# **VASP energy**: -2.64 eV/atom
# **M_tot**: 0.00 μB per formula unit
data_CdIn2CuCl
_chemical_formula_sum 'Cd1 In2 Cu1 Cl1'
_space_group_name_H-M_alt 'P 4/m m m'
_space_group_IT_number 123
_space_group_name_Hall '-P 4 2'
_cell_length_a 5.099
_cell_length_b 5.099
_cell_length_c 5.101
_cell_angle_alpha 90.00
_cell_angle_beta 90.00
_cell_angle_gamma 90.00
loop_
_atom_site_label
_atom_site_type_symbol
_atom_site_fract_x
_atom_site_fract_y
_atom_site_fract_z
Cd1 Cd 0.000 0.000 0.000
In1 In 0.000 0.500 0.500
Cu1 Cu 0.000 0.000 0.500
Cl1 Cl 0.500 0.500 0.000

=====

No. 3
# PBE Ho3GeTe2, optimized geometry
# **Density of states at the Fermi level**: 26.82 states/eV/cell
# **E_form (uncorrected)**: -1.2582 eV/atom
# **VASP energy**: -5.36 eV/atom
# **M_tot**: 0.00 μB per formula unit
data_Ho3GeTe2
_chemical_formula_sum 'Ho48 Ge16 Te32'
_space_group_name_H-M_alt 'F d d d'
_space_group_IT_number 70
_cell_length_a 8.604
_cell_length_b 12.126
_cell_length_c 25.609
_cell_angle_alpha 90.00
_cell_angle_beta 90.00
_cell_angle_gamma 90.00
loop_
_space_group_symop_operation_xyz
'x,y,z'
'-x,-y,-z'
'-x+1/4,-y+1/4,z'
'x+1/4,y+1/4,-z'
'x,-y+1/4,-z+1/4'
'-x,y+1/4,z+1/4'
'-x+1/4,y,-z+1/4'
'x+1/4,-y,z+1/4'
'x,y+1/2,z+1/2'
'-x,-y+1/2,-z+1/2'
'-x+1/4,-y+3/4,z+1/2'
'x+1/4,y+3/4,-z+1/2'
'x,-y+3/4,-z+3/4'
'-x,y+3/4,z+3/4'
'-x+1/4,y+1/2,-z+3/4'
'x+1/4,-y+1/2,z+3/4'
'x+1/2,y,z+1/2'
'-x+1/2,-y,-z+1/2'
'-x+3/4,-y+1/4,z+1/2'
'x+3/4,y+1/4,-z+1/2'
'x+1/2,-y+1/4,-z+3/4'
'-x+1/2,y+1/4,z+3/4'
'-x+3/4,y,-z+3/4'
'x+3/4,-y,z+3/4'
'x+1/2,y+1/2,z'
'-x+1/2,-y+1/2,-z'
'-x+3/4,-y+3/4,z'
'x+3/4,y+3/4,-z'
'x+1/2,-y+3/4,-z+1/4'
'-x+1/2,y+3/4,z+1/4'
'-x+3/4,y+1/2,-z+1/4'
'x+3/4,-y+1/2,z+1/4'
loop_
_atom_site_label
_atom_site_type_symbol
_atom_site_fract_x
_atom_site_fract_y
_atom_site_fract_z
Ho1 Ho 0.097 0.375 0.375
Ho2 Ho 0.112 0.362 0.213
Ge1 Ge 0.125 0.125 0.041
Te1 Te 0.125 0.125 0.378
Te2 Te 0.125 0.125 0.545

=====

No. 4
# PBE Dy2CuIrO6, optimized geometry
# **Density of states at the Fermi level**: 21.08 states/eV/cell
# **E_form (uncorrected)**: -2.0353 eV/atom
# **VASP energy**: -7.23 eV/atom
# **M_tot**: 1.88 μB per formula unit
data_Dy2CuIrO6
_chemical_formula_sum 'Dy6 Cu3 Ir3 O18'
_space_group_name_H-M_alt 'R 3'
_space_group_IT_number 146
_space_group_name_Hall 'R 3'
_cell_length_a 5.5394
_cell_length_b 5.5394
_cell_length_c 14.1258
_cell_angle_alpha 90.00
_cell_angle_beta 90.00
_cell_angle_gamma 120.00
loop_
_atom_site_label
_atom_site_type_symbol
_atom_site_fract_x
_atom_site_fract_y
_atom_site_fract_z
Dy1 Dy 0.0000 0.0000 0.0000
Dy2 Dy 0.0000 0.0000 0.4945
Cu1 Cu 0.0000 0.0000 0.2229
Ir1 Ir 0.0000 0.0000 0.7086
O1 O 0.0570 0.3405 0.7812
O2 O 0.0645 0.7016 0.2847

=====

No. 5
# PBE Zr2CuHg, optimized geometry
# **Density of states at the Fermi level**: 4.61 states/eV/cell
# **VASP energy**: -5.46 eV/atom
# **M_tot**: 0.00 μB per formula unit
# **Formation energy**: -0.3 eV per formula unit
data_Zr2CuHg
_chemical_formula_sum 'Zr2 Cu1 Hg1'
_space_group_name_H-M_alt 'P 1 2/m 1'
_space_group_IT_number 10
_space_group_name_Hall '-P 2y'
_cell_length_a 3.304
_cell_length_b 4.008
_cell_length_c 5.947
_cell_angle_alpha 90.00
_cell_angle_beta 90.28
_cell_angle_gamma 90.00
loop_
_atom_site_label
_atom_site_type_symbol
_atom_site_fract_x
_atom_site_fract_y
_atom_site_fract_z
Zr1 Zr 0.002 0.000 0.263
Cu1 Cu 0.500 0.500 0.500
Hg1 Hg 0.500 0.500 0.000

=====

No. 6
# PBE CaCuSn2, optimized geometry
# **Density of states at the Fermi level**: 9.16 states/eV/cell
# **VASP energy**: -3.61 eV/atom
# **M_tot**: 0.00 μB per formula unit
# **Formation energy**: -0.3 eV per formula unit
data_CaCuSn2
_chemical_formula_sum 'Ca4 Cu4 Sn8'
_space_group_name_H-M_alt 'I -4 2 d'
_space_group_IT_number 122
_space_group_name_Hall 'I -4 2bw'
_cell_length_a 4.952
_cell_length_b 4.952
_cell_length_c 18.279
_cell_angle_alpha 90.00
_cell_angle_beta 90.00
_cell_angle_gamma 90.00
loop_
_atom_site_label
_atom_site_type_symbol
_atom_site_fract_x
_atom_site_fract_y
_atom_site_fract_z
Ca1 Ca 0.000 0.000 0.000
Cu1 Cu 0.000 0.000 0.500
Sn1 Sn 0.161 0.250 0.625